Nd2GdNi9 after structural relaxation. Source: the Open Quantum Materials Database, functional PBE.

Output
Total energy: -68.3 eV for the cell shown
Spin magnetization: 0.53 μB per formula unit

abc: 8.718 8.718 8.718
angles: 33.25 33.25 33.25
Positions (direct):
1 Nd 0.138 0.138 0.138
2 Nd 0.862 0.862 0.862
3 Gd 0.000 0.000 0.000
4 Ni 0.080 0.580 0.580
5 Ni 0.333 0.333 0.333
6 Ni 0.420 0.420 0.920
7 Ni 0.420 0.920 0.420
8 Ni 0.500 0.500 0.500
9 Ni 0.580 0.080 0.580
10 Ni 0.580 0.580 0.080
11 Ni 0.667 0.667 0.667
12 Ni 0.920 0.420 0.420